A plane-wave DFT calculation with GGA-PBE was carried out for PmDy2Rh after structural relaxation.

abc: 3.5039 3.5039 8.7068
angles: 90.00 90.00 90.00
With the nearest neighbours (Å) after each atom.
Fractional coordinates of all 4 atoms:
Pm (0.0000, 0.0000, 0.0000)  4 Pm 3.50, 8 Dy 3.68
Dy (0.5000, 0.5000, 0.3128)  4 Rh 2.97, 1 Dy 3.26
Dy (0.5000, 0.5000, 0.6872)  4 Rh 2.97, 1 Dy 3.26
Rh (0.0000, 0.0000, 0.5000)  8 Dy 2.97

- space group = P4/mmm (123)
- energy relative to the lowest polymorph listed for this composition (meV per atom) = 88